{"formula": "Re2WBr", "functional": "PBE-GGA", "state": "relaxed", "de_polymorph_ev_per_atom": 0.338, "m_tot_mub_per_atom": 0.000, "cell": [[-0.275, -3.011, -4.444], [0.551, -5.331, 0.407], [-2.755, 4.422, 1.322]], "species": ["Re", "Re", "Br", "W"], "frac_coords": [[0.015, 0.015, 0.000], [0.485, 0.485, 0.000], [0.250, 0.750, 0.500], [0.750, 0.250, 0.500]]}